NbVS after structural relaxation. Source: Alexandria, functional PBE.

Cell lengths 3.3773, 3.3773, 4.8106 Å; angles 90.00, 90.00, 120.00 degrees
Space group P3m1 (No. 156)
Unique sites:
Nb: 0.0000 0.0000 0.0000 [1 per cell]
V: 0.6667 0.3333 0.4678 [1 per cell]
S: 0.3333 0.6667 0.7053 [1 per cell]

Calculated values
DOS(E_F): 2.026 states/eV/cell
excess energy over the best structure of this formula in the dataset: 71 kJ/mol of formula units
formation energy without anion corrections: -0.3583 eV/atom
ρ: 6.15 g cm⁻³